No. 1
# Cd2AgOs

Crystalline Cd2AgOs at its relaxed geometry (GGA-PBE, Alexandria).

Cell lengths 2.9175, 2.9175, 28.8662 Å; angles 90.00, 90.00, 120.00 degrees
Space group R-3m (No. 166, hexagonal axes)
Asymmetric unit:
1 Cd 0.0000 0.0000 0.2482
2 Ag 0.0000 0.0000 0.0000
3 Os 0.0000 0.0000 0.5000

## Properties
Total moment ... 0.003 μB/cell
Electronic total energy ... -3.6329 eV/atom
DOS at the Fermi energy ... 0.68 states/eV per atom

=====

No. 2
# YMgCl2

Crystalline YMgCl2 at its relaxed geometry (GGA-PBE, Alexandria).

Cell lengths 3.433, 3.433, 8.841 Å; angles 90.00, 90.00, 90.00 degrees
Space group P4mm (No. 99)
Asymmetric unit:
1 Y 0.000 0.000 0.000
2 Mg 0.500 0.500 0.719
3 Cl 0.000 0.000 0.575
4 Cl 0.500 0.500 0.171

## Properties
Total moment ... 0.280 μB/cell
ΔE_f (raw) ... -1.2503 eV per atom
Electronic total energy ... -4.1883 eV/atom
DOS at the Fermi energy ... 0.39 states/eV per atom